The following is a DFT calculation (GGA-PBE) of a relaxed Tm3ScTl2 crystal.

crystal system = orthorhombic
symmetry = No. 72
formation energy = -0.207 eV per atom

Lattice parameters (Å, degrees): 9.3079 9.3079 9.3079 140.07 57.74 140.08
Fractional coordinates of all 12 atoms:
Tm: 0.1754 0.7479 0.9233
Tm: 0.2500 0.2500 0.0000
Tm: 0.3246 0.2479 0.5725
Tm: 0.6754 0.7521 0.4275
Tm: 0.7500 0.7500 0.0000
Tm: 0.8246 0.2521 0.0767
Sc: 0.2500 0.7500 0.5000
Sc: 0.7500 0.2500 0.5000
Tl: 0.1347 0.2565 0.3912
Tl: 0.3653 0.7565 0.1218
Tl: 0.6347 0.2435 0.8782
Tl: 0.8653 0.7435 0.6088

***

The following is a DFT calculation (GGA-PBE) of a relaxed Na2PuSnSb2 crystal.

crystal system = orthorhombic
formation energy without anion corrections = -332.2 meV/atom
symmetry = No. 26

Lattice parameters (Å, degrees): 5.2109 9.3789 6.6869 90.00 90.00 90.00
Fractional coordinates of all 12 atoms:
Na: 0.0000 0.0002 0.0000
Na: 0.0000 0.9998 0.5000
Na: 0.5000 0.1521 0.2501
Na: 0.5000 0.8479 0.7501
Pu: 0.5000 0.4998 0.9995
Pu: 0.5000 0.5002 0.4995
Sn: 0.0000 0.3363 0.7490
Sn: 0.0000 0.6637 0.2490
Sb: 0.0000 0.3346 0.2497
Sb: 0.0000 0.6654 0.7497
Sb: 0.5000 0.1843 0.7499
Sb: 0.5000 0.8157 0.2499

***

The following is a DFT calculation (GGA-PBE) of a relaxed Sm2NiBr crystal.

crystal system = trigonal
formation energy without anion corrections = -811.7 meV/atom
symmetry = No. 166

Lattice parameters (Å, degrees): 8.0003 8.0003 8.0003 29.16 29.16 29.16
Fractional coordinates of all 4 atoms:
Sm: 0.2307 0.2307 0.2307
Sm: 0.7693 0.7693 0.7693
Ni: 0.5000 0.5000 0.5000
Br: 0.0000 0.0000 0.0000

***

The following is a DFT calculation (GGA-PBE) of a relaxed BeSnSe3 crystal.

crystal system = cubic
formation energy without anion corrections = 856.9 meV/atom
symmetry = No. 221

Lattice parameters (Å, degrees): 5.2629 5.2629 5.2629 90.00 90.00 90.00
Fractional coordinates of all 5 atoms:
Be: 0.0000 0.0000 0.0000
Sn: 0.5000 0.5000 0.5000
Se: 0.0000 0.5000 0.5000
Se: 0.5000 0.0000 0.5000
Se: 0.5000 0.5000 0.0000

***

The following is a DFT calculation (GGA-PBE) of a relaxed AcSi2Mo crystal.

crystal system = trigonal
formation energy without anion corrections = -275.8 meV/atom
symmetry = No. 166

Lattice parameters (Å, degrees): 6.0544 6.0544 6.0544 41.40 41.40 41.40
Fractional coordinates of all 4 atoms:
Ac: 0.0000 0.0000 0.0000
Si: 0.2061 0.2061 0.2061
Si: 0.7939 0.7939 0.7939
Mo: 0.5000 0.5000 0.5000

***

The following is a DFT calculation (GGA-PBE) of a relaxed FeSiP4 crystal.

crystal system = tetragonal
formation energy without anion corrections = 161.8 meV/atom
symmetry = No. 124

Lattice parameters (Å, degrees): 5.3526 5.3526 5.7102 90.00 90.00 90.00
Fractional coordinates of all 12 atoms:
Fe: 0.0000 0.0000 0.2500
Fe: 0.0000 0.0000 0.7500
Si: 0.5000 0.5000 0.2500
Si: 0.5000 0.5000 0.7500
P: 0.1308 0.3360 0.0000
P: 0.1308 0.6640 0.5000
P: 0.3360 0.1308 0.5000
P: 0.3360 0.8692 0.0000
P: 0.6640 0.1308 0.0000
P: 0.6640 0.8692 0.5000
P: 0.8692 0.3360 0.5000
P: 0.8692 0.6640 0.0000

***

The following is a DFT calculation (GGA-PBE) of a relaxed LaY2AgC crystal.

crystal system = tetragonal
symmetry = No. 123
formation energy = -0.169 eV per atom

Lattice parameters (Å, degrees): 4.8711 4.8711 5.3296 90.00 90.00 90.00
Fractional coordinates of all 5 atoms:
La: 0.0000 0.0000 0.0000
Y: 0.0000 0.5000 0.5000
Y: 0.5000 0.0000 0.5000
Ag: 0.5000 0.5000 0.0000
C: 0.0000 0.0000 0.5000

***

The following is a DFT calculation (GGA-PBE) of a relaxed BaSr2 crystal.

crystal system = monoclinic
symmetry = No. 12
formation energy = 0.012 eV per atom

Lattice parameters (Å, degrees): 4.3142 4.3142 10.9535 101.31 101.31 60.03
Fractional coordinates of all 3 atoms:
Ba: 0.0000 0.0000 0.0000
Sr: 0.2211 0.2211 0.6628
Sr: 0.7789 0.7789 0.3372

***

The following is a DFT calculation (GGA-PBE) of a relaxed Lu2NbCd crystal.

crystal system = trigonal
symmetry = No. 166
formation energy = 0.436 eV per atom

Lattice parameters (Å, degrees): 11.4855 11.4855 11.4855 15.80 15.80 15.80
Fractional coordinates of all 4 atoms:
Lu: 0.0859 0.0859 0.0859
Lu: 0.9141 0.9141 0.9141
Nb: 0.0000 0.0000 0.0000
Cd: 0.5000 0.5000 0.5000

***

The following is a DFT calculation (GGA-PBE) of a relaxed BaLi3Cu crystal.

crystal system = cubic
symmetry = No. 221
formation energy = 1.284 eV per atom

Lattice parameters (Å, degrees): 5.7850 5.7850 5.7850 90.00 90.00 90.00
Fractional coordinates of all 5 atoms:
Ba: 0.0000 0.0000 0.0000
Li: 0.0000 0.0000 0.5000
Li: 0.0000 0.5000 0.0000
Li: 0.5000 0.0000 0.0000
Cu: 0.5000 0.5000 0.5000

***

The following is a DFT calculation (GGA-PBE) of a relaxed NaHg2Au2 crystal.

crystal system = tetragonal
symmetry = No. 127
formation energy = -0.119 eV per atom

Lattice parameters (Å, degrees): 7.8238 7.8238 3.6161 90.00 90.00 90.00
Fractional coordinates of all 10 atoms:
Na: 0.0000 0.0000 0.0000
Na: 0.5000 0.5000 0.0000
Hg: 0.1732 0.3268 0.5000
Hg: 0.3268 0.8268 0.5000
Hg: 0.6732 0.1732 0.5000
Hg: 0.8268 0.6732 0.5000
Au: 0.1285 0.6285 0.0000
Au: 0.3715 0.1285 0.0000
Au: 0.6285 0.8715 0.0000
Au: 0.8715 0.3715 0.0000

***

The following is a DFT calculation (GGA-PBE) of a relaxed TaBe2 crystal.

crystal system = orthorhombic
symmetry = No. 71
formation energy = 0.459 eV per atom

Lattice parameters (Å, degrees): 4.2862 4.2862 4.2862 141.94 128.20 66.06
Fractional coordinates of all 3 atoms:
Ta: 0.0000 0.0000 0.0000
Be: 0.3435 0.3435 0.0000
Be: 0.6565 0.6565 0.0000